A relaxed LaReIr2 crystal. Source: Alexandria, functional GGA-PBE.

Results
**ρ**: 15.73 g/cm³
**Fermi-level density of states**: 1.1348 states/eV/atom
**DFT formation energy**: -0.0633 eV/atom
**Energy relative to the lowest polymorph listed for this composition**: 0.036 eV/atom
**Magnetic moment**: 0.0003 μB/atom

Lattice parameters (Å, degrees): 2.8578 3.6188 7.2439 90.00 90.00 90.00
With the nearest neighbours (Å) after each atom.
Positions (direct):
1 Ir 0.0000 0.0000 0.9392  4 Re 2.68, 3 Ir 2.74-2.86
2 Ir 0.0000 0.0000 0.5608  4 Re 2.68, 3 Ir 2.74-2.86
3 La 0.5000 0.5000 0.2500  2 La 2.86
4 Re 0.5000 0.5000 0.7500  8 Ir 2.68, 2 Re 2.86